Material: Ac8Tl2In
Method: DFT, PBE
State: optimized geometry

extended XYZ file:
```
11
Lattice="-2.483 1.849 -4.621 -8.706 -1.741 3.981 5.492 7.374 3.346" Properties=species:S:1:pos:R:3 pbc="T T T"
Ac 1.894 5.470 1.171
Ac -3.663 2.797 -0.260
Ac -5.668 5.401 1.859
Ac -2.034 4.684 2.967
Ac -2.756 -0.551 1.260
Ac -2.940 8.032 1.446
Ac -0.029 2.080 0.847
Ac -7.591 2.011 1.536
In -1.241 0.924 -2.310
Tl -4.393 2.004 3.162
Tl -1.304 5.477 -0.456
```

* energy of formation from the pure elements: -0.126 eV per atom
* space-group type: Immm, No. 71
* E_tot: -41.7 eV for the cell shown
* relative energy among the computed polymorphs: 34 meV/atom

---

Material: InHg3
Method: DFT, PBE
State: optimized geometry

extended XYZ file:
```
8
Lattice="-6.831 -2.598 -7.376 -0.738 -3.457 -9.763 3.777 -0.083 9.672" Properties=species:S:1:pos:R:3 pbc="T T T"
In -4.720 -3.775 -10.688
In -2.849 -2.279 -6.452
Hg -3.419 -2.854 -3.137
Hg 1.520 -1.770 -0.046
Hg -6.618 -5.294 -14.986
Hg -0.373 -3.284 -4.331
Hg -1.527 -1.340 1.148
Hg -0.951 -0.761 -2.154
```

* energy of formation from the pure elements: 0.001 eV per atom
* space-group type: I4/mmm, No. 139
* E_tot: -7.3 eV for the cell shown

---

Material: PmPaF2
Method: DFT, PBE
State: optimized geometry

extended XYZ file:
```
4
Lattice="3.243 0.000 0.000 1.622 2.809 0.000 1.622 0.936 8.336" Properties=species:S:1:pos:R:3 pbc="T T T"
Pa 0.000 0.000 0.000
F 1.622 0.936 5.837
F 4.865 2.809 2.499
Pm 3.243 1.872 4.168
```

* space-group type: R-3m, No. 166
* formation energy (no corrections): -2.056 eV/atom
* E_tot: -26.2 eV for the cell shown

---

Material: Tl2RuPb
Method: DFT, PBE
State: optimized geometry

extended XYZ file:
```
4
Lattice="6.227 -0.087 0.067 -3.244 5.316 0.067 0.927 1.625 2.994" Properties=species:S:1:pos:R:3 pbc="T T T"
Tl 0.000 0.000 0.000
Tl 1.492 2.615 0.067
Ru -1.158 3.471 1.531
Pb 3.577 0.769 1.531
```

* energy of formation from the pure elements: 0.657 eV per atom
* space-group type: C2/m, No. 12
* E_tot: -15.1 eV for the cell shown
* relative energy among the computed polymorphs: 363 meV/atom

---

Material: RbTi3Cu
Method: DFT, PBE
State: optimized geometry

extended XYZ file:
```
5
Lattice="4.690 0.000 0.000 0.000 4.690 0.000 0.000 0.000 4.690" Properties=species:S:1:pos:R:3 pbc="T T T"
Rb 0.000 0.000 0.000
Ti 2.345 0.000 0.000
Ti 0.000 0.000 2.345
Ti 0.000 2.345 0.000
Cu 2.345 2.345 2.345
```

* energy of formation from the pure elements: 2.201 eV per atom
* space-group type: Pm-3m, No. 221
* E_tot: -17.7 eV for the cell shown
* relative energy among the computed polymorphs: 1132 meV/atom

---

Material: CsRu2PtO8
Method: DFT, PBE
State: optimized geometry

extended XYZ file:
```
12
Lattice="-2.734 0.351 -4.377 -1.364 -3.419 3.634 -5.676 6.594 4.074" Properties=species:S:1:pos:R:3 pbc="T T T"
Ru -5.778 2.435 3.804
Ru -3.996 1.091 -0.473
Cs 0.000 0.000 0.000
O -4.044 2.969 3.670
O -6.816 3.641 4.549
O -5.730 0.558 -0.340
O -4.038 2.663 -1.389
O -6.287 2.001 2.112
O -2.958 -0.115 -1.218
O -5.736 0.864 4.720
O -3.487 1.526 1.219
Pt -2.838 3.297 2.037
```

* space-group type: P-3, No. 147
* formation energy (no corrections): -0.826 eV/atom
* E_tot: -75.0 eV for the cell shown